AcTh2NpN4 (GGA-PBE, optimized geometry); final energy = -74.994 eV for the cell shown; symmetry = I-4m2; energy relative to the elements, uncorrected = -1.225 eV/atom; DOS(E_F) = 9.52 states/eV/cell
1.0
-0.8699 -4.9470 -1.3896
0.7265 -1.5134 4.9338
-4.9981 3.8579 -0.8330
Ac Th Np N
1 2 1 4
Cartesian
-0.0717 -3.2302 1.7721
-2.1716 -0.4429 2.9364
0.0000 0.0000 0.0000
-2.9698 -2.1596 -0.2252
-5.4465 -1.8530 0.2335
-0.4932 -2.4663 -0.6840
-2.7208 -2.9022 2.2628
-2.4207 0.2997 0.4484